{"formula": "InBr2Cl", "functional": "GGA-PBE", "state": "optimized geometry", "e_above_lowest_polymorph_mev_per_atom": 121.5, "formation_energy_uncorrected_mev_per_atom": -789, "spacegroup": "Cm (8)", "e_tot_ev_per_atom": -2.77, "total_magnetization_mub_per_cell": 0.0, "lattice_angstrom": [[6.5231, -1.7862, 0.0000], [6.5231, 1.7862, 0.0000], [-3.5278, 0.0000, 6.2809]], "species": ["In", "Br", "Br", "Cl"], "fractional_positions": [[0.0000, 0.0000, 0.0000], [0.5021, 0.5021, 0.7137], [0.6559, 0.6559, 0.2884], [0.3529, 0.3529, 0.9980]]}